! CrRhF3, relaxed, DFT PBE+U; values from VASP
! - ΔE to the lowest computed polymorph (meV/atom) = 222
! - uncorrected energy (eV per atom) = -5.10
&SYSTEM
  ibrav = 0, nat = 5, ntyp = 3
/
ATOMIC_SPECIES
Cr 52.00 Cr.upf
Rh 102.91 Rh.upf
F 19.00 F.upf
CELL_PARAMETERS angstrom
4.2122 0.0000 0.0000
0.0000 4.2122 0.0000
0.0000 0.0000 4.2122
ATOMIC_POSITIONS angstrom
Cr 0.0000 0.0000 0.0000
Rh 2.1061 2.1061 2.1061
F 0.0000 2.1061 2.1061
F 2.1061 0.0000 2.1061
F 2.1061 2.1061 0.0000